Material: NaBiPb2
Method: DFT, PBE
State: relaxed

Summary:
The calculation puts the final energy at -12.8 eV per cell. The value obtained for the formation energy from the elements is -0.05 eV/atom. The space group is No. 160.

Cell: 5.525 5.525 5.660 Å, 60.79 60.79 60.00°
Atoms (fractional coordinates):
Na: 0.750 0.750 0.750
Bi: 0.488 0.488 0.535
Pb: 0.009 0.009 0.973
Pb: 0.253 0.253 0.242



Material: Na2Bi2Pb3
Method: DFT, PBE
State: relaxed

Summary:
As for the excess energy over the best structure of this formula in the dataset: 0 meV/atom. The calculation puts the final energy at -22.4 eV per cell. The value obtained for the formation energy from the elements is -0.13 eV/atom. The space group is No. 12.

Cell: 4.786 6.101 8.003 Å, 95.86 90.00 113.09°
Atoms (fractional coordinates):
Na: 0.921 0.842 0.274
Na: 0.079 0.158 0.726
Bi: 0.789 0.579 0.847
Bi: 0.211 0.421 0.153
Pb: 0.500 0.000 0.000
Pb: 0.640 0.280 0.422
Pb: 0.360 0.720 0.578



Among the records above, which one has the lowest final energy? Na2Bi2Pb3